# Li24Mn5Cr7O36

A relaxed structure of Li24Mn5Cr7O36 (GGA+U, the Alexandria database).

a b c (Å): 5.0289 9.7411 13.2782
angles (deg): 96.80 100.35 94.90
Last column: nearest neighbours and their distance in Å.
Fractional coordinates of all 72 atoms:
1 Li 0.1749 0.9978 0.8329  6 O 2.05-2.25
2 Li 0.0403 0.9990 0.6104  6 O 2.06-2.24
3 Li 0.0034 0.7501 0.2510  6 O 2.08-2.17
4 Li 0.3339 0.7511 0.9150  6 O 2.07-2.15
5 Li 0.0449 0.4976 0.1132  6 O 2.06-2.21
6 Li 0.3829 0.5033 0.7844  6 O 2.06-2.30
7 Li 0.1741 0.5002 0.3316  6 O 2.04-2.23
8 Li 0.4998 0.4980 0.9987  6 O 2.04-2.19
9 Li 0.2783 0.4994 0.5496  6 O 2.05-2.29
10 Li 0.3325 0.2505 0.4165  6 O 2.08-2.13
11 Li 0.4972 0.0005 0.4997  6 O 2.05-2.21
12 Li 0.2787 0.0002 0.0504  6 O 2.05-2.28
13 Li 0.6239 0.9990 0.7205  6 O 2.05-2.24
14 Li 0.3782 0.0005 0.2822  6 O 2.06-2.28
15 Li 0.7172 0.9989 0.9472  6 O 2.07-2.18
16 Li 0.6727 0.7492 0.5822  6 O 2.06-2.14
17 Li 0.7166 0.4985 0.4472  6 O 2.07-2.19
18 Li 0.8320 0.5014 0.6663  6 O 2.04-2.20
19 Li 0.6204 0.4998 0.2216  6 O 2.04-2.24
20 Li 0.9510 0.5010 0.8877  6 O 2.06-2.22
21 Li 0.6728 0.2492 0.0827  6 O 2.06-2.14
22 Li 0.8296 0.0019 0.1677  6 O 2.03-2.19
23 Li 0.9996 0.2504 0.7497  6 O 2.08-2.14
24 Li 0.9552 0.0029 0.3905  6 O 2.05-2.29
25 Mn 0.1115 0.2499 0.9727  6 O 1.92-1.95
26 Mn 0.1106 0.7499 0.4721  6 O 1.92-1.95
27 Mn 0.7808 0.7520 0.8071  6 O 1.92-1.96
28 Mn 0.7800 0.2519 0.3069  6 O 1.92-1.96
29 Mn 0.8844 0.2484 0.5266  6 O 1.93-1.96
30 Cr 0.2308 0.7497 0.6932  6 O 1.89-1.99
31 Cr 0.2305 0.2492 0.1939  6 O 1.90-1.99
32 Cr 0.4318 0.2489 0.6384  6 O 1.88-2.01
33 Cr 0.5652 0.2517 0.8607  6 O 1.87-2.00
34 Cr 0.4361 0.7468 0.1349  6 O 1.87-2.00
35 Cr 0.5627 0.7510 0.3601  6 O 1.88-1.99
36 Cr 0.8887 0.7499 0.0310  6 O 1.88-1.99
37 O 0.0015 0.8611 0.9285  1 Mn 1.93, 1 Cr 1.97, 2 Li 2.07-2.08
38 O 0.0693 0.6365 0.7850  1 Mn 1.95, 1 Cr 1.97, 4 Li 2.05-2.13
39 O 0.0012 0.3616 0.4284  2 Mn 1.93-1.94, 2 Li 2.07-2.08
40 O 0.1408 0.3607 0.6411  1 Cr 1.90, 1 Mn 1.96, 2 Li 2.08
41 O 0.2627 0.3637 0.8812  1 Mn 1.95, 1 Cr 1.99, 4 Li 2.04-2.15
42 O 0.3300 0.8612 0.5954  1 Cr 1.89, 1 Mn 1.95, 1 Li 2.08
43 O 0.0674 0.1362 0.2844  1 Mn 1.95, 1 Cr 1.96, 4 Li 2.03-2.14
44 O 0.1820 0.1370 0.5215  1 Mn 1.93, 1 Cr 1.96, 3 Li 2.06-2.13
45 O 0.4018 0.1367 0.9512  1 Mn 1.94, 1 Cr 1.97, 4 Li 2.05-2.17
46 O 0.1309 0.8621 0.1400  2 Cr 1.88-1.98, 2 Li 2.07-2.09
47 O 0.2621 0.8645 0.3813  1 Mn 1.95, 1 Cr 1.99, 4 Li 2.05-2.15
48 O 0.4849 0.8641 0.8115  1 Mn 1.92, 1 Cr 1.99, 3 Li 2.05-2.15
49 O 0.3380 0.1362 0.7350  2 Cr 1.88-2.00, 1 Li 2.06
50 O 0.1980 0.6365 0.0251  2 Cr 1.87-1.99, 1 Li 2.08
51 O 0.4014 0.6367 0.4510  1 Mn 1.95, 1 Cr 1.97, 4 Li 2.04-2.17
52 O 0.5222 0.6391 0.6927  1 Cr 1.89, 1 Mn 1.96, 1 Li 2.06
53 O 0.3322 0.6366 0.2360  2 Cr 1.93-1.99, 3 Li 2.07-2.14
54 O 0.6668 0.6395 0.9053  1 Mn 1.93, 1 Cr 1.97, 2 Li 2.07-2.09
55 O 0.3302 0.3609 0.0958  1 Cr 1.90, 1 Mn 1.94, 1 Li 2.06
56 O 0.6610 0.3641 0.7648  2 Cr 1.87-2.01, 1 Li 2.06
57 O 0.4831 0.3632 0.3112  1 Mn 1.92, 1 Cr 1.98, 2 Li 2.04-2.08
58 O 0.5974 0.3636 0.5495  1 Mn 1.95, 1 Cr 1.96, 4 Li 2.04-2.16
59 O 0.8166 0.3634 0.9788  1 Mn 1.93, 1 Cr 1.97, 3 Li 2.06-2.16
60 O 0.6578 0.8613 0.2620  2 Cr 1.88-2.00, 1 Li 2.06
61 O 0.5226 0.1385 0.1929  1 Cr 1.90, 1 Mn 1.96, 1 Li 2.06
62 O 0.7359 0.1360 0.6184  1 Mn 1.93, 1 Cr 2.00, 4 Li 2.06-2.12
63 O 0.8562 0.1399 0.8579  1 Cr 1.90, 1 Mn 1.95, 2 Li 2.07-2.09
64 O 0.5901 0.8657 0.0519  2 Cr 1.90-1.99, 2 Li 2.04-2.13
65 O 0.8145 0.8625 0.4778  1 Mn 1.93, 1 Cr 1.97, 3 Li 2.05-2.15
66 O 0.9326 0.8638 0.7153  1 Mn 1.94, 1 Cr 1.98, 4 Li 2.05-2.13
67 O 0.6632 0.1385 0.4050  2 Mn 1.93-1.94, 3 Li 2.08-2.16
68 O 0.7399 0.6331 0.1156  2 Cr 1.89-2.00, 2 Li 2.04-2.11
69 O 0.8559 0.6394 0.3576  1 Cr 1.91, 1 Mn 1.95, 2 Li 2.08
70 O 0.9980 0.6361 0.5692  1 Mn 1.92, 1 Cr 1.99, 2 Li 2.05-2.07
71 O 0.9315 0.3638 0.2155  1 Mn 1.93, 1 Cr 1.99, 4 Li 2.05-2.14
72 O 0.9976 0.1362 0.0694  1 Mn 1.92, 1 Cr 1.99, 2 Li 2.05-2.07

The value obtained for the energy above the most stable polymorph in this dataset is 0.0005 eV per atom. As for the volume: 8.8 A^3/atom. For the total magnetization, the calculation gives 29.00 Bohr magnetons per cell. The energy is -0.229 hartree per atom. As for the space group: P1 (1). Its crystal system is triclinic.